[1]
{
  "formula": "NdEr5Pb3",
  "functional": "PBE",
  "state": "relaxed",
  "sg": "P6_3/mcm",
  "cell": [[9.455, 0.000, 0.000], [-4.728, 8.189, 0.000], [0.000, 0.000, 6.577]],
  "species": ["Nd", "Nd", "Er", "Er", "Er", "Er", "Er", "Er", "Er", "Er", "Er", "Er", "Pb", "Pb", "Pb", "Pb", "Pb", "Pb"],
  "fractional_positions": [[0.000, 0.000, 0.000], [0.000, 0.000, 0.500], [0.000, 0.332, 0.250], [0.000, 0.668, 0.750], [0.332, 0.000, 0.250], [0.332, 0.332, 0.750], [0.333, 0.667, 0.000], [0.333, 0.667, 0.500], [0.667, 0.333, 0.000], [0.667, 0.333, 0.500], [0.668, 0.000, 0.750], [0.668, 0.668, 0.250], [0.000, 0.338, 0.750], [0.000, 0.662, 0.250], [0.338, 0.000, 0.750], [0.338, 0.338, 0.250], [0.662, 0.000, 0.250], [0.662, 0.662, 0.750]]
}

[2]
{
  "formula": "BeGa2ReAg",
  "functional": "PBE",
  "state": "relaxed",
  "sg": "P4/mmm",
  "cell": [[4.808, 0.000, 0.000], [0.000, 4.808, 0.000], [0.000, 0.000, 4.364]],
  "species": ["Be", "Ga", "Ga", "Re", "Ag"],
  "fractional_positions": [[0.000, 0.000, 0.000], [0.000, 0.500, 0.500], [0.500, 0.000, 0.500], [0.000, 0.000, 0.500], [0.500, 0.500, 0.000]]
}

[3]
{
  "formula": "Ho2Mn2Ni15",
  "functional": "PBE",
  "state": "relaxed",
  "sg": "R-3m",
  "cell": [[4.152, 2.397, 4.068], [-4.152, 2.397, 4.068], [0.000, -4.794, 4.068]],
  "species": ["Ho", "Ho", "Mn", "Mn", "Ni", "Ni", "Ni", "Ni", "Ni", "Ni", "Ni", "Ni", "Ni", "Ni", "Ni", "Ni", "Ni", "Ni", "Ni"],
  "fractional_positions": [[0.154, 0.154, 0.154], [0.846, 0.846, 0.846], [0.398, 0.398, 0.398], [0.602, 0.602, 0.602], [0.000, 0.500, 0.500], [0.155, 0.155, 0.655], [0.155, 0.655, 0.155], [0.203, 0.500, 0.797], [0.203, 0.797, 0.500], [0.345, 0.845, 0.845], [0.500, 0.000, 0.500], [0.500, 0.203, 0.797], [0.500, 0.500, 0.000], [0.500, 0.797, 0.203], [0.655, 0.155, 0.155], [0.797, 0.203, 0.500], [0.797, 0.500, 0.203], [0.845, 0.345, 0.845], [0.845, 0.845, 0.345]]
}

[4]
{
  "formula": "Re2TeP2",
  "functional": "PBE",
  "state": "relaxed",
  "e_above_lowest_polymorph_mev_per_atom": 558,
  "formation_energy_uncorrected_ev_per_atom": 0.60,
  "sg": "P4/mbm",
  "cell": [[7.400, 0.000, 0.000], [0.000, 7.400, 0.000], [0.000, 0.000, 2.937]],
  "species": ["Re", "Re", "Re", "Re", "Te", "Te", "P", "P", "P", "P"],
  "fractional_positions": [[0.145, 0.355, 0.000], [0.355, 0.855, 0.000], [0.645, 0.145, 0.000], [0.855, 0.645, 0.000], [0.000, 0.000, 0.500], [0.500, 0.500, 0.500], [0.130, 0.630, 0.500], [0.370, 0.130, 0.500], [0.630, 0.870, 0.500], [0.870, 0.370, 0.500]]
}

[5]
{
  "formula": "HfZn3Ir",
  "functional": "PBE",
  "state": "relaxed",
  "e_above_lowest_polymorph_mev_per_atom": 0,
  "sg": "Pm-3m",
  "cell": [[4.666, 0.000, 0.000], [0.000, 4.666, 0.000], [0.000, 0.000, 4.666]],
  "species": ["Hf", "Zn", "Zn", "Zn", "Ir"],
  "fractional_positions": [[0.000, 0.000, 0.000], [0.000, 0.500, 0.500], [0.500, 0.000, 0.500], [0.500, 0.500, 0.000], [0.500, 0.500, 0.500]]
}

[6]
{
  "formula": "CrBTeAuI",
  "functional": "PBE",
  "state": "relaxed",
  "e_above_lowest_polymorph_mev_per_atom": 0,
  "formation_energy_uncorrected_ev_per_atom": 0.18,
  "sg": "Cm",
  "cell": [[3.166, -1.822, 0.000], [3.166, 1.822, 0.000], [-0.002, 0.000, 9.567]],
  "species": ["Cr", "B", "Te", "Au", "I"],
  "fractional_positions": [[0.000, 0.000, 0.000], [0.333, 0.333, 0.080], [0.333, 0.333, 0.830], [0.667, 0.667, 0.183], [0.668, 0.668, 0.472]]
}

[7]
{
  "formula": "Sm3Cu2Rh3",
  "functional": "PBE",
  "state": "relaxed",
  "sg": "Cmcm",
  "cell": [[2.112, -5.388, 0.000], [2.112, 5.388, 0.000], [0.000, 0.000, 14.139]],
  "species": ["Sm", "Sm", "Sm", "Sm", "Sm", "Sm", "Cu", "Cu", "Cu", "Cu", "Rh", "Rh", "Rh", "Rh", "Rh", "Rh"],
  "fractional_positions": [[0.089, 0.911, 0.606], [0.089, 0.911, 0.894], [0.362, 0.638, 0.750], [0.638, 0.362, 0.250], [0.911, 0.089, 0.106], [0.911, 0.089, 0.394], [0.214, 0.786, 0.098], [0.214, 0.786, 0.402], [0.786, 0.214, 0.598], [0.786, 0.214, 0.902], [0.358, 0.642, 0.250], [0.392, 0.608, 0.544], [0.392, 0.608, 0.956], [0.608, 0.392, 0.044], [0.608, 0.392, 0.456], [0.642, 0.358, 0.750]]
}

[8]
{
  "formula": "TbPmPdAu",
  "functional": "PBE",
  "state": "relaxed",
  "e_above_lowest_polymorph_mev_per_atom": 52,
  "sg": "F-43m",
  "cell": [[0.000, 3.611, 3.611], [3.611, 0.000, 3.611], [3.611, 3.611, 0.000]],
  "species": ["Tb", "Pm", "Pd", "Au"],
  "fractional_positions": [[0.000, 0.000, 0.000], [0.500, 0.500, 0.500], [0.250, 0.250, 0.250], [0.750, 0.750, 0.750]]
}

[9]
{
  "formula": "ZrScPd6",
  "functional": "PBE",
  "state": "relaxed",
  "sg": "P4/mmm",
  "cell": [[4.020, 0.000, 0.000], [0.000, 4.020, 0.000], [0.000, 0.000, 8.037]],
  "species": ["Zr", "Sc", "Pd", "Pd", "Pd", "Pd", "Pd", "Pd"],
  "fractional_positions": [[0.000, 0.000, 0.000], [0.000, 0.000, 0.500], [0.000, 0.500, 0.250], [0.000, 0.500, 0.750], [0.500, 0.000, 0.250], [0.500, 0.000, 0.750], [0.500, 0.500, 0.000], [0.500, 0.500, 0.500]]
}

[10]
{
  "formula": "BaSr3F",
  "functional": "PBE",
  "state": "relaxed",
  "e_above_lowest_polymorph_mev_per_atom": 0,
  "formation_energy_uncorrected_ev_per_atom": -0.98,
  "sg": "Pm-3m",
  "cell": [[5.944, 0.000, 0.000], [0.000, 5.944, 0.000], [0.000, 0.000, 5.944]],
  "species": ["Ba", "Sr", "Sr", "Sr", "F"],
  "fractional_positions": [[0.000, 0.000, 0.000], [0.000, 0.500, 0.500], [0.500, 0.000, 0.500], [0.500, 0.500, 0.000], [0.500, 0.500, 0.500]]
}

[11]
{
  "formula": "BePdO2",
  "functional": "PBE",
  "state": "relaxed",
  "formation_energy_uncorrected_ev_per_atom": -0.87,
  "sg": "R-3m",
  "cell": [[1.763, 1.018, 4.610], [-1.763, 1.018, 4.610], [0.000, -2.036, 4.610]],
  "species": ["Be", "Pd", "O", "O"],
  "fractional_positions": [[0.000, 0.000, 0.000], [0.500, 0.500, 0.500], [0.105, 0.105, 0.105], [0.895, 0.895, 0.895]]
}

[12]
{
  "formula": "AcPmYZn",
  "functional": "PBE",
  "state": "relaxed",
  "e_above_lowest_polymorph_mev_per_atom": 0,
  "sg": "P4mm",
  "cell": [[3.708, 0.000, 0.000], [0.000, 3.708, 0.000], [0.000, 0.000, 9.029]],
  "species": ["Ac", "Pm", "Y", "Zn"],
  "fractional_positions": [[0.000, 0.000, 0.000], [0.500, 0.500, 0.309], [0.500, 0.500, 0.697], [0.000, 0.000, 0.512]]
}

Number 1: raw total energy -84.0 eV for the cell shown. Number 2: raw total energy -21.8 eV for the cell shown. Number 3: raw total energy -118.4 eV for the cell shown. Number 4: raw total energy -71.8 eV for the cell shown. Number 5: raw total energy -20.2 eV for the cell shown. Number 6: raw total energy -23.4 eV for the cell shown. Number 7: raw total energy -96.8 eV for the cell shown. Number 8: raw total energy -21.1 eV for the cell shown. Number 9: raw total energy -52.8 eV for the cell shown. Number 10: raw total energy -13.7 eV for the cell shown. Number 11: raw total energy -22.3 eV for the cell shown. Number 12: raw total energy -17.1 eV for the cell shown.